[1]
Below is crystalline Te2SeI2 at its relaxed geometry, with properties calculated at the PBE-GGA level.

Summary:
- Fermi-level density of states (states/eV per atom) = 0.324
- E_form (uncorrected) (eV per formula unit) = 0.062
- total energy (Ha/atom) = -0.0941
- total moment (μB/f.u.) = 0.00
- crystal system = monoclinic
- energy relative to the lowest polymorph listed for this composition (eV per atom) = 0.000

Geometry as CIF:
```
data_Te2SeI2
_cell_length_a 18.3492
_cell_length_b 5.7977
_cell_length_c 10.4544
_cell_angle_alpha 90.00
_cell_angle_beta 119.50
_cell_angle_gamma 90.00
_symmetry_space_group_name_H-M 'C 1 2/m 1'
_symmetry_Int_Tables_number 12
_symmetry_space_group_name_Hall '-C 2y'
loop_
_atom_site_label
_atom_site_type_symbol
_atom_site_fract_x
_atom_site_fract_y
_atom_site_fract_z
Te1 Te 0.0749 0.0000 0.2699
Te2 Te 0.2035 0.5000 0.7147
Se1 Se 0.1405 0.0000 0.1057
I1 I 0.0214 0.5000 0.2318
I2 I 0.1735 0.0000 0.7587
```

---

[2]
Below is crystalline Y3AgAu2 at its relaxed geometry, with properties calculated at the PBE-GGA level.

Summary:
- Fermi-level density of states (states/eV per atom) = 0.418
- formation enthalpy at 0 K (eV per atom) = -0.691
- total energy (Ha/atom) = -0.2018
- total moment (μB/f.u.) = 0.00
- crystal system = tetragonal

Geometry as CIF:
```
data_Y3AgAu2
_cell_length_a 3.6028
_cell_length_b 3.6028
_cell_length_c 10.9423
_cell_angle_alpha 90.00
_cell_angle_beta 90.00
_cell_angle_gamma 90.00
_symmetry_space_group_name_H-M 'P 4/m m m'
_symmetry_Int_Tables_number 123
_symmetry_space_group_name_Hall '-P 4 2'
loop_
_atom_site_label
_atom_site_type_symbol
_atom_site_fract_x
_atom_site_fract_y
_atom_site_fract_z
Y1 Y 0.0000 0.0000 0.0000
Y2 Y 0.0000 0.0000 0.3291
Ag1 Ag 0.5000 0.5000 0.5000
Au1 Au 0.5000 0.5000 0.1676
```

---

> What is the total moment in the second record?

0.00 μB/f.u.

---

> Which value of Fermi-level density of states does entry 1 give?

0.324 states/eV per atom

---

> Which value of total energy does entry 2 give?

-0.2018 Ha/atom